Arrangement a

DFT (PBE) results for a geometry-optimized B3HOs structure.

Geometry as POSCAR:
```
B3HOs
1.0
4.0855 0.0000 0.0000
0.0000 4.0855 0.0000
0.0000 0.0000 4.0855
H B Os
1 3 1
Cartesian
2.0427 2.0427 2.0427
0.0000 2.0427 0.0000
2.0427 0.0000 0.0000
0.0000 0.0000 2.0427
0.0000 0.0000 0.0000
```


Arrangement b

DFT (PBE) results for a geometry-optimized B3HOs structure.

Geometry as POSCAR:
```
B3HOs
1.0
-0.4860 -0.2052 -3.2663
-2.5901 -1.9943 0.5107
-2.0005 2.6320 0.1323
B H Os
3 1 1
Cartesian
-1.2951 -0.9972 0.2553
-1.0002 1.3160 0.0662
-0.2430 -0.1026 -1.6331
0.0000 0.0000 0.0000
-2.5383 0.2163 -1.3117
```


Quick one: most stable of them? arrangement b


Arrangement a

DFT (PBE) results for a geometry-optimized B2H6Os structure.

Geometry as POSCAR:
```
B2H6Os
1.0
-0.7092 -5.4965 1.0771
4.1739 0.2303 -5.6926
3.5655 1.0125 -1.7264
H B Os
6 2 1
Cartesian
3.5717 -0.7503 -2.2627
3.6003 -3.8847 -2.1121
3.4297 -0.3691 -4.2298
5.6956 -0.6144 -5.0848
3.4584 -3.5034 -4.0792
1.3345 -3.6394 -1.2572
4.3714 -3.8074 -3.1900
2.6587 -0.4464 -3.1519
0.0000 0.0000 0.0000
```


Arrangement b

DFT (PBE) results for a geometry-optimized B2H6Os structure.

Geometry as POSCAR:
```
B2H6Os
1.0
3.5573 0.0000 2.0538
1.1858 3.3539 2.0538
0.0000 0.0000 4.1076
Os B H
1 2 6
Cartesian
0.0000 0.0000 0.0000
3.5573 2.5154 6.1615
1.1858 0.8385 2.0538
2.8581 0.9888 3.2648
1.8849 2.3651 4.9505
2.8581 0.9888 4.9505
3.3447 2.3651 4.1076
1.3983 0.9888 4.1076
1.8849 2.3651 3.2648
```


Quick one: most stable of them? arrangement a


Arrangement a

DFT (PBE) results for a geometry-optimized BH2Os structure.

Geometry as POSCAR:
```
BH2Os
1.0
-1.6339 0.3546 2.9152
-1.2470 2.9959 0.8738
-3.3236 0.4975 0.0138
H B Os
2 1 1
Cartesian
-4.6533 2.8859 2.8521
-1.5511 0.9620 0.9507
0.0000 0.0000 0.0000
-3.1022 1.9240 1.9014
```


Arrangement b

DFT (PBE) results for a geometry-optimized BH2Os structure.

Geometry as POSCAR:
```
BH2Os
1.0
3.8968 0.0000 0.0000
0.0000 3.8968 0.0000
1.9484 1.9484 3.7681
H B Os
4 2 2
Cartesian
1.3336 2.9226 0.9420
4.8710 4.5116 2.8261
2.5632 0.9742 0.9420
2.9226 3.2820 2.8261
1.9484 3.8968 1.8840
1.9484 1.9484 0.0000
0.0000 0.0000 0.0000
3.8968 1.9484 1.8840
```


Quick one: most stable of them? arrangement b


Arrangement a

DFT (PBE) results for a geometry-optimized BPH3 structure.

Geometry as POSCAR:
```
BPH3
1.0
3.1459 -0.3768 -0.0205
-0.5638 5.9019 -1.4789
0.0882 -4.2851 8.7750
P H B
2 6 2
Cartesian
0.8526 -1.5767 4.4693
1.6938 2.7424 2.8051
0.7109 1.7896 5.7255
1.8348 0.8022 6.7128
2.7068 -0.6172 1.5462
0.8747 0.4554 0.5631
2.1982 1.3367 -0.2824
-0.2219 0.0090 7.5626
2.5446 5.0669 -1.0429
1.7296 -3.9966 8.3089
```


Arrangement b

DFT (PBE) results for a geometry-optimized BPH3 structure.

Geometry as POSCAR:
```
BPH3
1.0
3.4080 0.0000 0.0000
0.0000 3.4080 0.0000
0.0000 0.0000 3.4080
H P B
3 1 1
Cartesian
1.7040 0.0000 0.0000
0.0000 0.0000 1.7040
0.0000 1.7040 0.0000
0.0000 0.0000 0.0000
1.7040 1.7040 1.7040
```


Quick one: most stable of them? arrangement a